Compound: LaRu2Se
Source: Alexandria via LeMat-Bulk
Functional: PBE
Structure: optimized geometry

The total energy comes out at -27.1 eV for the cell shown. As for the crystal system: tetragonal. For the uncorrected formation energy, the calculation gives -25 meV per atom.

Cell lengths 4.294, 4.294, 3.994 Å; angles 90.00, 90.00, 90.00 degrees
Space group P4/mmm (No. 123)
Asymmetric unit:
La 0.000 0.000 0.000
Ru 0.000 0.500 0.500
Se 0.500 0.500 0.000